BaTm2CuO5 (SCAN, PBEsol geometry); VASP energy = -24.141 eV per atom
1.0
11.969 0.000 0.000
0.000 5.570 0.000
0.000 0.000 7.007
Ba Tm Cu O
4 8 4 20
Direct
0.096 0.250 0.070
0.404 0.750 0.570
0.596 0.250 0.430
0.904 0.750 0.930
0.075 0.750 0.398
0.212 0.250 0.616
0.288 0.750 0.116
0.425 0.250 0.898
0.575 0.750 0.102
0.712 0.250 0.884
0.788 0.750 0.384
0.925 0.250 0.602
0.160 0.750 0.785
0.340 0.250 0.285
0.660 0.750 0.715
0.840 0.250 0.215
0.067 0.504 0.663
0.067 0.996 0.663
0.102 0.750 0.086
0.227 0.002 0.359
0.227 0.498 0.359
0.273 0.502 0.859
0.273 0.998 0.859
0.398 0.250 0.586
0.433 0.004 0.163
0.433 0.496 0.163
0.567 0.504 0.837
0.567 0.996 0.837
0.602 0.750 0.414
0.727 0.002 0.141
0.727 0.498 0.141
0.773 0.502 0.641
0.773 0.998 0.641
0.898 0.250 0.914
0.933 0.004 0.337
0.933 0.496 0.337

Ba4Tm2Cu6O13 (SCAN, PBEsol geometry); VASP energy = -19.462 eV per atom; DOS(E_F) = 3.7 states/eV/cell
1.0
0.000 3.852 11.723
3.792 0.000 11.723
3.792 3.852 0.000
Ba Tm Cu O
4 2 6 13
Direct
0.145 0.663 0.855
0.337 0.855 0.663
0.663 0.145 0.337
0.855 0.337 0.145
0.000 0.500 0.000
0.500 0.000 0.500
0.068 0.565 0.435
0.243 0.757 0.243
0.435 0.932 0.068
0.565 0.068 0.932
0.757 0.243 0.757
0.932 0.435 0.565
0.000 0.000 0.000
0.190 0.190 0.810
0.191 0.191 0.309
0.195 0.652 0.348
0.308 0.308 0.692
0.309 0.309 0.191
0.348 0.805 0.195
0.652 0.195 0.805
0.691 0.691 0.809
0.692 0.692 0.308
0.805 0.348 0.652
0.809 0.809 0.691
0.810 0.810 0.190

Ba8Y4CuW3O24 (SCAN, PBEsol geometry); VASP energy = -23.093 eV per atom; DOS(E_F) = 0.1 states/eV/cell
1.0
-4.174 4.174 8.502
4.174 -4.174 8.502
4.174 4.174 -8.502
Ba Y Cu W O
8 4 1 3 24
Direct
0.114 0.114 0.465
0.114 0.649 0.000
0.351 0.351 0.465
0.351 0.886 0.000
0.649 0.114 0.000
0.649 0.649 0.535
0.886 0.351 0.000
0.886 0.886 0.535
0.000 0.500 0.500
0.257 0.257 0.000
0.500 0.000 0.500
0.743 0.743 0.000
0.000 0.000 0.000
0.250 0.750 0.500
0.500 0.500 0.000
0.750 0.250 0.500
0.000 0.243 0.243
0.000 0.757 0.757
0.016 0.747 0.270
0.134 0.134 0.000
0.135 0.635 0.500
0.243 0.000 0.243
0.253 0.523 0.270
0.253 0.984 0.730
0.268 0.500 0.768
0.365 0.865 0.500
0.388 0.388 0.000
0.477 0.747 0.730
0.500 0.268 0.768
0.500 0.732 0.232
0.523 0.253 0.270
0.612 0.612 0.000
0.635 0.135 0.500
0.732 0.500 0.232
0.747 0.016 0.270
0.747 0.477 0.730
0.757 0.000 0.757
0.865 0.365 0.500
0.866 0.866 0.000
0.984 0.253 0.730

Question: Which of these has the lowest VASP energy?
Answer: BaTm2CuO5